[1]
This record from OQMD describes a relaxed structure of HoSc2O4. The functional is PBE.

Symmetry = Fd-3m
Total magnetization = 0.18 μB/f.u.
E_tot = -60.10 eV/f.u.

Structure (POSCAR):
```
HoSc2O4
1.0
0.0000 4.5292 4.5292
4.5292 0.0000 4.5292
4.5292 4.5292 0.0000
Ho Sc O
2 4 8
Direct
0.1250 0.1250 0.1250
0.8750 0.8750 0.8750
0.0000 0.5000 0.5000
0.5000 0.0000 0.5000
0.5000 0.5000 0.0000
0.5000 0.5000 0.5000
0.2614 0.2614 0.2614
0.2614 0.2614 0.7160
0.2614 0.7160 0.2614
0.2841 0.7386 0.7386
0.7160 0.2614 0.2614
0.7386 0.2841 0.7386
0.7386 0.7386 0.2841
0.7386 0.7386 0.7386
```

[2]
This record from OQMD describes a relaxed structure of YTlHgS3. The functional is PBE.

Symmetry = Cmcm
Total magnetization = 0.00 μB/f.u.
E_tot = -27.45 eV/f.u.
Energy above the most stable polymorph in this dataset = 0.1 meV/atom

Structure (POSCAR):
```
YTlHgS3
1.0
2.0572 -7.5633 0.0000
2.0572 7.5633 0.0000
0.0000 0.0000 10.7294
Y Tl Hg S
2 2 2 6
Direct
0.0000 0.0000 0.0000
0.0000 0.0000 0.5000
0.3087 0.6913 0.7500
0.6913 0.3087 0.2500
0.3990 0.6010 0.2500
0.6010 0.3990 0.7500
0.0454 0.9546 0.2500
0.3772 0.6228 0.0286
0.3772 0.6228 0.4714
0.6228 0.3772 0.5286
0.6228 0.3772 0.9714
0.9546 0.0454 0.7500
```

[3]
This record from OQMD describes a relaxed structure of BeZnCoB. The functional is PBE.

Symmetry = F-43m
Total magnetization = 0.00 μB/f.u.
E_tot = -17.95 eV/f.u.
Energy above the most stable polymorph in this dataset = 0.0 meV/atom

Structure (POSCAR):
```
BeZnCoB
1.0
0.0000 2.6276 2.6276
2.6276 0.0000 2.6276
2.6276 2.6276 0.0000
Be Zn Co B
1 1 1 1
Direct
0.0000 0.0000 0.0000
0.7500 0.7500 0.7500
0.2500 0.2500 0.2500
0.5000 0.5000 0.5000
```

[4]
This record from OQMD describes a relaxed structure of HfSb2Ir. The functional is PBE.

Symmetry = F-43m
Total magnetization = 0.00 μB/f.u.
E_tot = -26.60 eV/f.u.

Structure (POSCAR):
```
HfSb2Ir
1.0
0.0000 3.4814 3.4814
3.4814 0.0000 3.4814
3.4814 3.4814 0.0000
Hf Sb Ir
1 2 1
Direct
0.0000 0.0000 0.0000
0.5000 0.5000 0.5000
0.7500 0.7500 0.7500
0.2500 0.2500 0.2500
```

[5]
This record from OQMD describes a relaxed structure of ReNiGe. The functional is PBE.

Symmetry = F-43m
Total magnetization = 0.00 μB/f.u.
E_tot = -21.33 eV/f.u.
Energy above the most stable polymorph in this dataset = 0.0 meV/atom

Structure (POSCAR):
```
ReNiGe
1.0
0.0000 2.8410 2.8410
2.8410 0.0000 2.8410
2.8410 2.8410 0.0000
Re Ni Ge
1 1 1
Direct
0.0000 0.0000 0.0000
0.5000 0.5000 0.5000
0.7500 0.7500 0.7500
```

[6]
This record from OQMD describes a relaxed structure of SmPb2Br6. The functional is PBE.

Symmetry = R-3m
Total magnetization = 0.00 μB/f.u.
E_tot = -32.30 eV/f.u.

Structure (POSCAR):
```
SmPb2Br6
1.0
2.1540 1.2436 20.3346
-2.1540 1.2436 20.3346
0.0000 -2.4873 20.3346
Sm Pb Br
1 2 6
Direct
0.0000 0.0000 0.0000
0.4446 0.4446 0.4446
0.5554 0.5554 0.5554
0.0821 0.0821 0.0821
0.1934 0.1934 0.1934
0.3060 0.3060 0.3060
0.6940 0.6940 0.6940
0.8066 0.8066 0.8066
0.9179 0.9179 0.9179
```

[7]
This record from OQMD describes a relaxed structure of Y2ErHg. The functional is PBE.

Symmetry = Amm2
Total magnetization = 0.05 μB/f.u.
E_form = -94 meV per atom
E_tot = -18.17 eV/f.u.
Energy above the most stable polymorph in this dataset = 107.3 meV/atom

Structure (POSCAR):
```
Y2ErHg
1.0
5.4167 0.0000 0.0000
0.0000 3.6114 5.7372
0.0000 -3.6114 5.7372
Y Er Hg
4 2 2
Direct
0.0000 0.0000 0.0000
0.0000 0.0072 0.5059
0.0000 0.5059 0.0072
0.5000 0.6834 0.6834
0.0000 0.4985 0.4985
0.5000 0.1882 0.1882
0.5000 0.1792 0.6745
0.5000 0.6745 0.1792
```

[8]
This record from OQMD describes a relaxed structure of Er3In3Ir2Pt. The functional is PBE.

Symmetry = P-62m
Total magnetization = 0.00 μB/f.u.
E_tot = -52.89 eV/f.u.

Structure (POSCAR):
```
Er3In3Ir2Pt
1.0
7.5395 0.0000 0.0000
-3.7697 6.5294 0.0000
0.0000 0.0000 3.8849
Er In Ir Pt
3 3 2 1
Direct
0.0000 0.5925 0.0000
0.4075 0.4075 0.0000
0.5925 0.0000 0.0000
0.0000 0.2620 0.5000
0.2620 0.0000 0.5000
0.7380 0.7380 0.5000
0.3333 0.6667 0.5000
0.6667 0.3333 0.5000
0.0000 0.0000 0.0000
```

[9]
This record from OQMD describes a relaxed structure of BiPt19. The functional is PBE.

Symmetry = Pmm2
Total magnetization = 0.25 μB/f.u.
E_tot = -117.55 eV/f.u.
Energy above the most stable polymorph in this dataset = 53.3 meV/atom

Structure (POSCAR):
```
BiPt19
1.0
2.8389 0.0000 0.0000
0.0000 3.9393 0.0000
0.0000 0.0000 41.6678
Bi Pt
1 19
Direct
0.0000 0.0000 0.0000
0.0000 0.0000 0.3870
0.0000 0.0000 0.4564
0.0000 0.0000 0.5236
0.0000 0.0000 0.5905
0.0000 0.0000 0.6572
0.0000 0.0000 0.7241
0.0000 0.0000 0.7910
0.0000 0.0000 0.8584
0.0000 0.0000 0.9260
0.5000 0.5000 0.3583
0.5000 0.5000 0.4234
0.5000 0.5000 0.4899
0.5000 0.5000 0.5569
0.5000 0.5000 0.6239
0.5000 0.5000 0.6907
0.5000 0.5000 0.7575
0.5000 0.5000 0.8245
0.5000 0.5000 0.8922
0.5000 0.5000 0.9620
```

[10]
This record from OQMD describes a relaxed structure of HoEr2Sn4Au4. The functional is PBE.

Symmetry = Immm
Total magnetization = 0.00 μB/f.u.
E_tot = -49.46 eV/f.u.

Structure (POSCAR):
```
HoEr2Sn4Au4
1.0
-2.2664 3.6237 7.7353
2.2664 -3.6237 7.7353
2.2664 3.6237 -7.7353
Ho Er Sn Au
1 2 4 4
Direct
0.0000 0.0000 0.0000
0.3714 0.8714 0.5000
0.6286 0.1286 0.5000
0.2135 0.2135 0.0000
0.3021 0.5000 0.8021
0.6979 0.5000 0.1979
0.7865 0.7865 0.0000
0.0372 0.3309 0.7062
0.3753 0.6691 0.7062
0.6247 0.3309 0.2938
0.9628 0.6691 0.2938
```

[11]
This record from OQMD describes a relaxed structure of ZnNiMo4N2. The functional is PBE.

Symmetry = P-6m2
Total magnetization = 0.02 μB/f.u.
E_tot = -67.10 eV/f.u.

Structure (POSCAR):
```
ZnNiMo4N2
1.0
2.8174 0.0000 0.0000
-1.4087 2.4399 0.0000
0.0000 0.0000 14.4627
Zn Ni Mo N
1 1 4 2
Direct
0.0000 0.0000 0.0000
0.3333 0.6667 0.5000
0.0000 0.0000 0.3525
0.0000 0.0000 0.6475
0.3333 0.6667 0.1568
0.3333 0.6667 0.8432
0.6667 0.3333 0.2535
0.6667 0.3333 0.7465
```

[12]
This record from OQMD describes a relaxed structure of Ta2AgPb. The functional is PBE.

Symmetry = F-43m
Total magnetization = 0.00 μB/f.u.
E_tot = -27.35 eV/f.u.

Structure (POSCAR):
```
Ta2AgPb
1.0
0.0000 3.4150 3.4150
3.4150 0.0000 3.4150
3.4150 3.4150 0.0000
Ta Ag Pb
2 1 1
Direct
0.0000 0.0000 0.0000
0.2500 0.2500 0.2500
0.7500 0.7500 0.7500
0.5000 0.5000 0.5000
```

[13]
This record from OQMD describes a relaxed structure of Pd2CSeS. The functional is PBE.

Symmetry = P3m1
E_tot = -24.26 eV/f.u.

Structure (POSCAR):
```
Pd2CSeS
1.0
3.3047 0.0000 0.0000
-1.6523 2.8619 0.0000
0.0000 0.0000 9.3827
Pd C Se S
2 1 1 1
Direct
0.0000 0.0000 0.0000
0.3333 0.6667 0.2402
0.6667 0.3333 0.1238
0.3333 0.6667 0.8095
0.0000 0.0000 0.4017
```

[14]
This record from OQMD describes a relaxed structure of SmSiHO4. The functional is PBE.

Symmetry = Pbca
Total magnetization = 0.00 μB/f.u.
E_tot = -52.20 eV/f.u.
Energy above the most stable polymorph in this dataset = 0.0 meV/atom

Structure (POSCAR):
```
SmSiHO4
1.0
7.7929 0.0000 0.0000
0.0000 8.9897 0.0000
0.0000 0.0000 17.5578
Sm Si H O
16 16 16 64
Direct
0.1228 0.1718 0.1247
0.1228 0.3282 0.6247
0.1352 0.1863 0.8824
0.1352 0.3137 0.3824
0.3648 0.6863 0.8824
0.3648 0.8137 0.3824
0.3772 0.6718 0.1247
0.3772 0.8282 0.6247
0.6228 0.1718 0.3753
0.6228 0.3282 0.8753
0.6352 0.1863 0.6176
0.6352 0.3137 0.1176
0.8648 0.6863 0.6176
0.8648 0.8137 0.1176
0.8772 0.6718 0.3753
0.8772 0.8282 0.8753
0.0219 0.0198 0.2949
0.0219 0.4802 0.7949
0.2446 0.5711 0.5048
0.2446 0.9289 0.0048
0.2554 0.0711 0.5048
0.2554 0.4289 0.0048
0.4781 0.5198 0.2949
0.4781 0.9802 0.7949
0.5219 0.0198 0.2051
0.5219 0.4802 0.7051
0.7446 0.5711 0.9952
0.7446 0.9289 0.4952
0.7554 0.0711 0.9952
0.7554 0.4289 0.4952
0.9781 0.5198 0.2051
0.9781 0.9802 0.7051
0.0582 0.6352 0.9954
0.0582 0.8648 0.4954
0.2008 0.5925 0.2824
0.2008 0.9075 0.7824
0.2992 0.0925 0.2824
0.2992 0.4075 0.7824
0.4418 0.1352 0.9954
0.4418 0.3648 0.4954
0.5582 0.6352 0.5046
0.5582 0.8648 0.0046
0.7008 0.5925 0.2176
0.7008 0.9075 0.7176
0.7992 0.0925 0.2176
0.7992 0.4075 0.7176
0.9418 0.1352 0.5046
0.9418 0.3648 0.0046
0.0562 0.0043 0.7908
0.0562 0.4957 0.2908
0.0764 0.1702 0.5088
0.0764 0.3298 0.0088
0.0789 0.6358 0.8335
0.0789 0.8642 0.3335
0.0902 0.6261 0.1500
0.0902 0.8739 0.6500
0.1424 0.5969 0.5845
0.1424 0.9031 0.0845
0.1548 0.6135 0.4242
0.1548 0.8865 0.9242
0.1800 0.1435 0.2741
0.1800 0.3565 0.7741
0.2229 0.6080 0.0001
0.2229 0.8920 0.5001
0.2771 0.1080 0.0001
0.2771 0.3920 0.5001
0.3200 0.6435 0.2741
0.3200 0.8565 0.7741
0.3452 0.1135 0.4242
0.3452 0.3865 0.9242
0.3576 0.0969 0.5845
0.3576 0.4031 0.0845
0.4098 0.1261 0.1500
0.4098 0.3739 0.6500
0.4211 0.1358 0.8335
0.4211 0.3642 0.3335
0.4236 0.6702 0.5088
0.4236 0.8298 0.0088
0.4438 0.5043 0.7908
0.4438 0.9957 0.2908
0.5562 0.0043 0.7092
0.5562 0.4957 0.2092
0.5764 0.1702 0.9912
0.5764 0.3298 0.4912
0.5789 0.6358 0.6665
0.5789 0.8642 0.1665
0.5902 0.6261 0.3500
0.5902 0.8739 0.8500
0.6424 0.5969 0.9155
0.6424 0.9031 0.4155
0.6548 0.6135 0.0758
0.6548 0.8865 0.5758
0.6800 0.1435 0.2259
0.6800 0.3565 0.7259
0.7229 0.6080 0.4999
0.7229 0.8920 0.9999
0.7771 0.1080 0.4999
0.7771 0.3920 0.9999
0.8200 0.6435 0.2259
0.8200 0.8565 0.7259
0.8452 0.1135 0.0758
0.8452 0.3865 0.5758
0.8576 0.0969 0.9155
0.8576 0.4031 0.4155
0.9098 0.1261 0.3500
0.9098 0.3739 0.8500
0.9211 0.1358 0.6665
0.9211 0.3642 0.1665
0.9236 0.6702 0.9912
0.9236 0.8298 0.4912
0.9438 0.5043 0.7092
0.9438 0.9957 0.2092
```

[15]
This record from OQMD describes a relaxed structure of BaSrTb. The functional is PBE.

Symmetry = F-43m
Total magnetization = 0.74 μB/f.u.
E_tot = -5.75 eV/f.u.

Structure (POSCAR):
```
BaSrTb
1.0
0.0000 4.3016 4.3016
4.3016 0.0000 4.3016
4.3016 4.3016 0.0000
Ba Sr Tb
1 1 1
Direct
0.0000 0.0000 0.0000
0.7500 0.7500 0.7500
0.2500 0.2500 0.2500
```

[16]
This record from OQMD describes a relaxed structure of Nb2NiGe. The functional is PBE.

Symmetry = F-43m
Total magnetization = 0.00 μB/f.u.
E_tot = -29.87 eV/f.u.

Structure (POSCAR):
```
Nb2NiGe
1.0
0.0000 3.1369 3.1369
3.1369 0.0000 3.1369
3.1369 3.1369 0.0000
Nb Ni Ge
2 1 1
Direct
0.0000 0.0000 0.0000
0.2500 0.2500 0.2500
0.7500 0.7500 0.7500
0.5000 0.5000 0.5000
```

[17]
This record from OQMD describes a relaxed structure of ZnAu7. The functional is PBE.

Symmetry = P4/nmm
E_form = 39 meV per atom
E_tot = -23.82 eV/f.u.

Structure (POSCAR):
```
ZnAu7
1.0
2.9354 0.0000 0.0000
0.0000 2.9354 0.0000
0.0000 0.0000 46.9608
Zn Au
2 14
Direct
0.2500 0.2500 0.1702
0.7500 0.7500 0.8298
0.2500 0.2500 0.2547
0.2500 0.2500 0.3448
0.2500 0.2500 0.4338
0.2500 0.2500 0.5221
0.2500 0.2500 0.6106
0.2500 0.2500 0.7002
0.2500 0.2500 0.7914
0.7500 0.7500 0.2086
0.7500 0.7500 0.2998
0.7500 0.7500 0.3894
0.7500 0.7500 0.4779
0.7500 0.7500 0.5662
0.7500 0.7500 0.6552
0.7500 0.7500 0.7453
```

[18]
This record from OQMD describes a relaxed structure of KRbReSeS2. The functional is PBE.

Symmetry = P-1
Total magnetization = 0.43 μB/f.u.
E_tot = -30.49 eV/f.u.

Structure (POSCAR):
```
KRbReSeS2
1.0
6.8734 0.0000 0.0000
3.1460 6.9505 0.0000
3.1756 0.8792 7.8096
K Rb Re Se S
2 2 2 2 4
Direct
0.0951 0.1845 0.1350
0.9049 0.8155 0.8650
0.3388 0.5714 0.2977
0.6612 0.4286 0.7023
0.3841 0.0504 0.6615
0.6159 0.9496 0.3385
0.1712 0.3788 0.7250
0.8288 0.6212 0.2750
0.2569 0.9727 0.4864
0.3761 0.8349 0.8947
0.6239 0.1651 0.1053
0.7431 0.0273 0.5136
```